A plane-wave DFT calculation with GGA-PBE was carried out for a geometry-optimized BeCrNi2 structure.

Lattice parameters (Å, degrees): 7.9181 7.9181 7.9181 17.95 17.95 17.95
Positions (direct):
Ni1 0.9941 0.9941 0.9941
Ni2 0.5059 0.5059 0.5059
Be1 0.2500 0.2500 0.2500
Cr1 0.7500 0.7500 0.7500

Values from the calculation:
As for the total magnetization: 0.000 μB/atom. Its formation energy is -0.047 eV per atom. The calculation puts the energy at -25.099 eV per cell.